Compound: TlIrRu2
Source: Alexandria
Functional: PBE
Structure: optimized geometry

```
TlIrRu2
1.0
9.282 0.000 0.000
0.000 2.864 0.000
-0.836 0.000 4.840
Tl Ir Ru
2 2 4
Direct
0.000 0.000 0.000
0.500 0.500 0.000
0.261 0.500 0.277
0.761 0.000 0.277
0.003 0.500 0.505
0.240 0.000 0.721
0.503 0.000 0.505
0.740 0.500 0.721
```

## Properties
Excess energy over the best structure of this formula in the dataset in eV/atom: 0.063
DOS(E_F) in states/eV/atom: 1.231
SG: Cm, No. 8
Magnetization in μB/cell: 0.00
Formation energy in kJ per mole of atoms: 44.22

=====

Compound: TlIr2Ru
Source: Alexandria
Functional: PBE
Structure: optimized geometry

```
TlIr2Ru
1.0
2.881 0.000 0.000
-1.441 2.495 0.000
0.000 0.000 27.253
Tl Ir Ru
3 6 3
Direct
0.000 0.000 0.000
0.333 0.667 0.667
0.667 0.333 0.333
0.000 0.000 0.502
0.000 0.000 0.756
0.333 0.667 0.169
0.333 0.667 0.423
0.667 0.333 0.089
0.667 0.333 0.835
0.000 0.000 0.244
0.333 0.667 0.911
0.667 0.333 0.578
```

## Properties
Excess energy over the best structure of this formula in the dataset in eV/atom: 0.137
DOS(E_F) in states/eV/atom: 0.908
SG: R3m, No. 160
Magnetization in μB/cell: 0.00
Formation energy in kJ per mole of atoms: 48.49

=====

Compound: Tl2IrRu
Source: Alexandria
Functional: PBE
Structure: optimized geometry

```
Tl2IrRu
1.0
3.161 0.000 0.000
0.000 4.525 0.000
0.000 0.000 5.319
Tl Ir Ru
2 1 1
Direct
0.000 0.000 0.000
0.500 0.000 0.500
0.000 0.500 0.500
0.500 0.500 0.000
```

## Properties
Excess energy over the best structure of this formula in the dataset in eV/atom: 0.305
DOS(E_F) in states/eV/atom: 0.901
SG: Pmmm, No. 47
Magnetization in μB/cell: 0.00
Formation energy in kJ per mole of atoms: 70.14

=====

Compound: TlIrRu2
Source: Alexandria
Functional: PBE
Structure: optimized geometry

```
TlIrRu2
1.0
6.401 0.000 0.000
0.000 6.401 0.000
0.000 0.000 6.401
Tl Ir Ru
4 4 8
Direct
0.000 0.000 0.000
0.000 0.500 0.500
0.500 0.000 0.500
0.500 0.500 0.000
0.250 0.250 0.750
0.250 0.750 0.250
0.750 0.250 0.250
0.750 0.750 0.750
0.000 0.000 0.500
0.000 0.500 0.000
0.250 0.250 0.250
0.250 0.750 0.750
0.500 0.000 0.000
0.500 0.500 0.500
0.750 0.250 0.750
0.750 0.750 0.250
```

## Properties
Excess energy over the best structure of this formula in the dataset in eV/atom: 0.295
DOS(E_F) in states/eV/atom: 1.512
SG: F-43m, No. 216
Magnetization in μB/cell: 10.84
Formation energy in kJ per mole of atoms: 66.58

=====

Compound: TlIrRu2
Source: Alexandria
Functional: PBE
Structure: optimized geometry

```
TlIrRu2
1.0
2.840 0.000 0.000
0.000 3.791 0.000
0.000 0.000 6.034
Tl Ir Ru
1 1 2
Direct
0.000 0.000 0.000
0.500 0.500 0.282
0.000 0.000 0.508
0.500 0.500 0.717
```

## Properties
Excess energy over the best structure of this formula in the dataset in eV/atom: 0.061
DOS(E_F) in states/eV/atom: 1.057
SG: Pmm2, No. 25
Magnetization in μB/cell: 0.00
Formation energy in kJ per mole of atoms: 43.97

=====

Compound: TlIrRu2
Source: Alexandria
Functional: PBE
Structure: optimized geometry

```
TlIrRu2
1.0
4.032 0.000 0.000
0.000 4.032 0.000
0.000 0.000 3.940
Tl Ir Ru
1 1 2
Direct
0.000 0.000 0.000
0.500 0.500 0.000
0.000 0.500 0.500
0.500 0.000 0.500
```

## Properties
Excess energy over the best structure of this formula in the dataset in eV/atom: 0.227
DOS(E_F) in states/eV/atom: 1.531
SG: P4/mmm, No. 123
Magnetization in μB/cell: 0.01
Formation energy in kJ per mole of atoms: 59.99